Material: Sc3AlGa
Method: DFT, GGA-PBE
State: relaxed

Properties
offset from the most stable computed form	494	meV/atom
M_tot	0.00	μB per atom
formation enthalpy at 0 K	85	meV per atom
Fermi-level density of states	7.46	states/eV/f.u.
symmetry	Pm-3m (221)

Cell: 5.033 5.033 5.033 Å, 90.00 90.00 90.00°
Positions (direct):
Sc 0.000 0.000 0.500
Sc 0.000 0.500 0.000
Sc 0.500 0.000 0.000
Al 0.500 0.500 0.500
Ga 0.000 0.000 0.000